[1]
The following is a GGA-PBE calculation of crystalline Ni21B6Pt2 at its relaxed geometry, from Alexandria via LeMat-Bulk.

Results
The density is 9.58 Mg/m³. The value obtained for the total energy is -179.67 eV for the cell shown. The calculation puts the calculated formation energy at -211 meV/atom.

a b c (Å): 7.4502 7.4502 7.4502
angles (deg): 60.00 60.00 60.00
Last column: nearest neighbours and their distance in Å.
Fractional positions:
Ni1 0.0000 0.0000 0.0000  12 Ni 2.52
Ni2 0.0000 0.0000 0.3380  2 B 2.09
Ni3 0.0000 0.0000 0.6620  2 B 2.09
Ni4 0.0000 0.3380 0.0000  2 B 2.09
Ni5 0.0000 0.3380 0.6620  2 B 2.09
Ni6 0.0000 0.6620 0.0000  2 B 2.09
Ni7 0.0000 0.6620 0.3380  2 B 2.09
Ni8 0.1537 0.6154 0.6154  3 B 2.09
Ni9 0.3380 0.0000 0.0000  2 B 2.09
Ni10 0.3380 0.0000 0.6620  2 B 2.09
Ni11 0.3380 0.6620 0.0000  2 B 2.09
Ni12 0.3846 0.3846 0.3846  3 B 2.09
Ni13 0.3846 0.3846 0.8463  3 B 2.09
Ni14 0.3846 0.8463 0.3846  3 B 2.09
Ni15 0.6154 0.1537 0.6154  3 B 2.09
Ni16 0.6154 0.6154 0.1537  3 B 2.09
Ni17 0.6154 0.6154 0.6154  3 B 2.09
Ni18 0.6620 0.0000 0.0000  2 B 2.09
Ni19 0.6620 0.0000 0.3380  2 B 2.09
Ni20 0.6620 0.3380 0.0000  2 B 2.09
Ni21 0.8463 0.3846 0.3846  3 B 2.09
B1 0.2724 0.2724 0.7276  8 Ni 2.09
B2 0.2724 0.7276 0.2724  8 Ni 2.09
B3 0.2724 0.7276 0.7276  8 Ni 2.09
B4 0.7276 0.2724 0.2724  8 Ni 2.09
B5 0.7276 0.2724 0.7276  8 Ni 2.09
B6 0.7276 0.7276 0.2724  8 Ni 2.09
Pt1 0.2500 0.2500 0.2500  4 Ni 2.46
Pt2 0.7500 0.7500 0.7500  4 Ni 2.46

***

[2]
The following is a GGA-PBE calculation of crystalline Ni2B2Pt at its relaxed geometry, from Alexandria via LeMat-Bulk.

Results
The density is 11.40 Mg/m³. The value obtained for the total energy is -63.48 eV for the cell shown. The calculation puts the calculated formation energy at -157 meV/atom.

a b c (Å): 5.6911 5.6911 3.0042
angles (deg): 90.00 90.00 90.00
Last column: nearest neighbours and their distance in Å.
Fractional positions:
Ni1 0.1520 0.3480 0.0000  6 B 2.15-2.40
Ni2 0.3480 0.8480 0.0000  6 B 2.15-2.40
Ni3 0.6520 0.1520 0.0000  6 B 2.15-2.40
Ni4 0.8480 0.6520 0.0000  6 B 2.15-2.40
B1 0.1159 0.6159 0.5000  1 B 1.87
B2 0.3841 0.1159 0.5000  1 B 1.87
B3 0.6159 0.8841 0.5000  1 B 1.87
B4 0.8841 0.3841 0.5000  1 B 1.87
Pt1 0.0000 0.0000 0.5000  4 B 2.28
Pt2 0.5000 0.5000 0.5000  4 B 2.28

***

[3]
The following is a GGA-PBE calculation of crystalline NiBPt3 at its relaxed geometry, from Alexandria via LeMat-Bulk.

Results
The density is 15.53 Mg/m³. The value obtained for the total energy is -62.31 eV for the cell shown. The calculation puts the calculated formation energy at -115 meV/atom.

a b c (Å): 6.1880 6.1880 6.1880
angles (deg): 52.99 52.99 52.99
Last column: nearest neighbours and their distance in Å.
Fractional positions:
Ni1 0.0976 0.0976 0.0976  9 Pt 2.76-2.79
Ni2 0.9024 0.9024 0.9024  9 Pt 2.76-2.79
B1 0.3337 0.3337 0.3337  6 Pt 2.16
B2 0.6663 0.6663 0.6663  6 Pt 2.16
Pt1 0.0903 0.5919 0.5919  2 B 2.16
Pt2 0.4081 0.4081 0.9097  2 B 2.16
Pt3 0.4081 0.9097 0.4081  2 B 2.16
Pt4 0.5919 0.0903 0.5919  2 B 2.16
Pt5 0.5919 0.5919 0.0903  2 B 2.16
Pt6 0.9097 0.4081 0.4081  2 B 2.16

***

[4]
The following is a GGA-PBE calculation of crystalline Ni2BPt at its relaxed geometry, from Alexandria via LeMat-Bulk.

Results
The density is 10.07 Mg/m³. The value obtained for the total energy is -44.14 eV for the cell shown. The calculation puts the calculated formation energy at 552 meV/atom.

a b c (Å): 7.0486 7.0486 7.0486
angles (deg): 146.43 146.43 48.21
Last column: nearest neighbours and their distance in Å.
Fractional positions:
Ni1 0.0080 0.6250 0.8830  2 B 1.98
Ni2 0.3750 0.2580 0.3830  2 B 1.98
Ni3 0.7420 0.1250 0.1170  2 B 1.98
Ni4 0.8750 0.9920 0.6170  2 B 1.98
B1 0.0000 0.0000 0.0000  4 Ni 1.98
B2 0.7500 0.2500 0.5000  4 Ni 1.98
Pt1 0.2500 0.7500 0.5000  4 Ni 2.42
Pt2 0.5000 0.5000 0.0000  4 Ni 2.42

***

[5]
The following is a GGA-PBE calculation of crystalline NiBPtRh2 at its relaxed geometry, from Alexandria via LeMat-Bulk.

Results
The density is 12.06 Mg/m³. The value obtained for the total energy is -33.05 eV for the cell shown. The calculation puts the calculated formation energy at 30 meV/atom.

a b c (Å): 4.0778 4.0778 3.8937
angles (deg): 90.00 90.00 90.00
Last column: nearest neighbours and their distance in Å.
Fractional positions:
Ni1 0.0000 0.0000 0.0000  2 B 1.95
B1 0.0000 0.0000 0.5000  2 Ni 1.95, 4 Rh 2.04
Pt1 0.5000 0.5000 0.0000  8 Rh 2.82, 4 Ni 2.88
Rh1 0.0000 0.5000 0.5000  2 B 2.04
Rh2 0.5000 0.0000 0.5000  2 B 2.04

***

[6]
The following is a GGA-PBE calculation of crystalline NiBPtRh2 at its relaxed geometry, from Alexandria via LeMat-Bulk.

Results
The density is 10.54 Mg/m³. The value obtained for the total energy is -28.07 eV for the cell shown. The calculation puts the calculated formation energy at 1026 meV/atom.

a b c (Å): 4.5626 4.5626 3.5599
angles (deg): 90.00 90.00 90.00
Last column: nearest neighbours and their distance in Å.
Fractional positions:
Ni1 0.0000 0.0000 0.0000  2 B 1.78
B1 0.0000 0.0000 0.5000  2 Ni 1.78
Pt1 0.5000 0.5000 0.5000  8 Rh 2.89, 4 B 3.23
Rh1 0.0000 0.5000 0.0000  2 Ni 2.28
Rh2 0.5000 0.0000 0.0000  2 Ni 2.28